No. 1
This record from Alexandria via LeMat-Bulk describes a geometry-optimized Y2ZrSc4 structure. The functional is PBE-GGA.

Properties
As for the crystal system: orthorhombic. The calculated formation energy comes out at 92 meV/atom. For the energy, the calculation gives -6.59 eV/atom. The calculation puts the density of states at the Fermi level at 1.54 states/eV/atom.

Cell: 17.3526 17.3526 3.2770 Å, 90.00 90.00 169.15°
Closest atoms and distances in Å follow each position.
Fractional coordinates of all 7 atoms:
1 Y 0.2041 0.7959 0.0000  6 Y 3.28-3.57, 4 Sc 3.39
2 Y 0.7959 0.2041 0.0000  6 Y 3.28-3.57, 4 Sc 3.39
3 Zr 0.5000 0.5000 0.5000  8 Sc 3.18, 4 Zr 3.28
4 Sc 0.0632 0.9368 0.0000  4 Zr 3.18, 8 Sc 3.28-3.33
5 Sc 0.3676 0.6324 0.5000  8 Sc 3.28-3.33, 4 Y 3.39
6 Sc 0.6324 0.3676 0.5000  8 Sc 3.28-3.33, 4 Y 3.39
7 Sc 0.9368 0.0632 0.0000  4 Zr 3.18, 8 Sc 3.28-3.33

No. 2
This record from Alexandria via LeMat-Bulk describes a geometry-optimized MgTl2BrCl3 structure. The functional is PBE-GGA.

Properties
As for the crystal system: orthorhombic. For the energy, the calculation gives -3.22 eV/atom. The formation energy from raw total energies is -1.2834 eV/atom. The calculation puts the density of states at the Fermi level at 0.00 states/eV/atom.

Cell: 8.7655 8.7655 8.7655 Å, 146.76 144.42 49.48°
Closest atoms and distances in Å follow each position.
Fractional coordinates of all 7 atoms:
1 Mg 0.0000 0.0000 0.0000  4 Cl 2.49-2.51, 2 Br 2.68
2 Tl 0.3550 0.3550 0.0000  3 Cl 3.16-3.54, 2 Br 3.41
3 Tl 0.6450 0.6450 0.0000  3 Cl 3.16-3.54, 2 Br 3.41
4 Br 0.5000 0.0000 0.5000  2 Mg 2.68
5 Cl 0.0000 0.5000 0.5000  2 Mg 2.51
6 Cl 0.1566 0.1566 0.0000  1 Mg 2.49
7 Cl 0.8434 0.8434 0.0000  1 Mg 2.49

No. 3
This record from Alexandria via LeMat-Bulk describes a geometry-optimized Tl3SiTe3 structure. The functional is PBE-GGA.

Properties
As for the crystal system: monoclinic. For the energy, the calculation gives -3.31 eV/atom. Its energy above the most stable polymorph in this dataset is 0.102 eV per atom. The formation energy from raw total energies is -0.1715 eV/atom. The calculation puts the density of states at the Fermi level at 0.11 states/eV/atom.

Cell: 8.0631 12.9286 11.8991 Å, 90.00 127.24 90.00°
Closest atoms and distances in Å follow each position.
Fractional coordinates of all 28 atoms:
1 Tl 0.0915 0.1935 0.3597  4 Te 3.31-3.50, 1 Si 3.54
2 Tl 0.0915 0.3065 0.8597  4 Te 3.31-3.50, 1 Si 3.54
3 Tl 0.3477 0.5805 0.0849  5 Te 3.34-3.56, 1 Tl 3.71
4 Tl 0.3477 0.9195 0.5849  5 Te 3.34-3.56, 1 Tl 3.71
5 Tl 0.3897 0.6424 0.5231  5 Te 3.38-3.63, 1 Tl 3.71
6 Tl 0.3897 0.8576 0.0231  5 Te 3.38-3.63, 1 Tl 3.71
7 Tl 0.6103 0.1424 0.9769  5 Te 3.38-3.63, 1 Tl 3.71
8 Tl 0.6103 0.3576 0.4769  5 Te 3.38-3.63, 1 Tl 3.71
9 Tl 0.6523 0.0805 0.4151  5 Te 3.34-3.56, 1 Tl 3.71
10 Tl 0.6523 0.4195 0.9151  5 Te 3.34-3.56, 1 Tl 3.71
11 Tl 0.9085 0.6935 0.1403  4 Te 3.31-3.50, 1 Si 3.54
12 Tl 0.9085 0.8065 0.6403  4 Te 3.31-3.50, 1 Si 3.54
13 Si 0.0719 0.5489 0.6565  4 Te 2.58-2.77
14 Si 0.0719 0.9511 0.1565  4 Te 2.58-2.77
15 Si 0.9281 0.0489 0.8435  4 Te 2.58-2.77
16 Si 0.9281 0.4511 0.3435  4 Te 2.58-2.77
17 Te 0.1345 0.0365 0.7423  1 Si 2.58
18 Te 0.1345 0.4635 0.2423  1 Si 2.58
19 Te 0.1508 0.1363 0.1101  2 Si 2.62-2.77
20 Te 0.1508 0.3637 0.6101  2 Si 2.62-2.77
21 Te 0.4155 0.6490 0.8304  1 Si 2.59
22 Te 0.4155 0.8510 0.3304  1 Si 2.59
23 Te 0.5845 0.1490 0.6696  1 Si 2.59
24 Te 0.5845 0.3510 0.1696  1 Si 2.59
25 Te 0.8492 0.6363 0.3899  2 Si 2.62-2.77
26 Te 0.8492 0.8637 0.8899  2 Si 2.62-2.77
27 Te 0.8655 0.5365 0.7577  1 Si 2.58
28 Te 0.8655 0.9635 0.2577  1 Si 2.58